Material: Nd4Sm2Er3
Method: DFT, PBE
State: optimized geometry

a = 5.114 Å, b = 6.249 Å, c = 10.829 Å
α = 73.39°, β = 89.97°, γ = 65.87°
Fractional coordinates of all 9 atoms:
1 Nd 0.666 0.667 0.888
2 Nd 0.001 0.997 0.334
3 Nd 0.999 0.003 0.666
4 Nd 0.334 0.333 0.112
5 Sm 0.332 0.336 0.776
6 Sm 0.668 0.664 0.224
7 Er 0.334 0.332 0.446
8 Er 0.000 0.000 0.000
9 Er 0.666 0.668 0.554

Values from the calculation:
Formation energy from the elements in meV/atom: 17
Space-group type: C2/m
Total moment in μB/f.u.: 0.00